Record 1
A relaxed TaCu2Ru crystal, computed with GGA-PBE.

- total magnetic moment (μB per formula unit) = 0.000
- calculated density (g cm⁻³) = 11.889
- formation energy from the elements (kJ per mole of atoms) = 5.7
- polymorph energy (0 for the lowest one) (eV per atom) = 0.158

Cell: 6.1141 6.1141 6.1141 Å, 90.00 90.00 90.00°
Closest atoms and distances in Å follow each position.
Space group F-43m (No. 216)
Asymmetric unit:
Ta (0.0000, 0.0000, 0.0000) [4 per cell]  4 Ru 2.65, 4 Cu 2.65
Cu (0.0000, 0.0000, 0.5000) [4 per cell]  4 Cu 2.65, 4 Ru 2.65
Cu (0.2500, 0.2500, 0.2500) [4 per cell]  4 Ta 2.65, 4 Cu 2.65
Ru (0.2500, 0.2500, 0.7500) [4 per cell]  4 Ta 2.65, 4 Cu 2.65

Record 2
A relaxed TaCuRu crystal, computed with GGA-PBE.

- total magnetic moment (μB per formula unit) = 0.000
- calculated density (g cm⁻³) = 10.849
- formation energy from the elements (kJ per mole of atoms) = 34.4
- polymorph energy (0 for the lowest one) (eV per atom) = 0.525

Cell: 5.9586 5.9586 5.9586 Å, 90.00 90.00 90.00°
Closest atoms and distances in Å follow each position.
Space group F-43m (No. 216)
Asymmetric unit:
Ta (0.0000, 0.0000, 0.0000) [4 per cell]  4 Ru 2.58
Cu (0.0000, 0.0000, 0.5000) [4 per cell]  4 Ru 2.58
Ru (0.2500, 0.2500, 0.2500) [4 per cell]  4 Ta 2.58, 4 Cu 2.58

Record 3
A relaxed TaCuRu crystal, computed with GGA-PBE.

- total magnetic moment (μB per formula unit) = 0.000
- calculated density (g cm⁻³) = 12.809
- formation energy from the elements (kJ per mole of atoms) = -2.3
- polymorph energy (0 for the lowest one) (eV per atom) = 0.144

Cell: 4.3202 4.3202 2.7716 Å, 90.00 90.00 120.00°
Closest atoms and distances in Å follow each position.
Space group P3m1 (No. 156)
Asymmetric unit:
Ta (0.0000, 0.0000, 0.0000) [1 per cell]  3 Ru 2.63, 3 Cu 2.68, 2 Ta 2.77
Cu (0.6667, 0.3333, 0.3514) [1 per cell]  3 Ru 2.68, 3 Ta 2.68, 2 Cu 2.77
Ru (0.3333, 0.6667, 0.7024) [1 per cell]  3 Ta 2.63, 3 Cu 2.68, 2 Ru 2.77

Record 4
A relaxed TaVCuRu crystal, computed with GGA-PBE.

- total magnetic moment (μB per formula unit) = 1.115
- calculated density (g cm⁻³) = 11.338
- formation energy from the elements (kJ per mole of atoms) = 1.4

Cell: 6.1472 6.1472 6.1472 Å, 90.00 90.00 90.00°
Closest atoms and distances in Å follow each position.
Space group F-43m (No. 216)
Asymmetric unit:
Ta (0.0000, 0.0000, 0.0000) [4 per cell]  4 Ru 2.66, 4 V 2.66
V (0.2500, 0.2500, 0.7500) [4 per cell]  4 Ta 2.66, 4 Cu 2.66
Cu (0.0000, 0.0000, 0.5000) [4 per cell]  4 Ru 2.66, 4 V 2.66
Ru (0.2500, 0.2500, 0.2500) [4 per cell]  4 Ta 2.66, 4 Cu 2.66

Record 5
A relaxed TaCuRuW2 crystal, computed with GGA-PBE.

- total magnetic moment (μB per formula unit) = 1.586
- calculated density (g cm⁻³) = 11.557
- formation energy from the elements (kJ per mole of atoms) = 225.1

Cell: 4.7193 4.7193 4.6014 Å, 90.00 90.00 90.00°
Closest atoms and distances in Å follow each position.
Space group P4/mmm (No. 123)
Asymmetric unit:
Ta (0.0000, 0.0000, 0.0000) [1 per cell]  2 Cu 2.30, 4 W 2.36
Cu (0.0000, 0.0000, 0.5000) [1 per cell]  2 Ta 2.30
Ru (0.5000, 0.5000, 0.5000) [1 per cell]  8 W 3.30, 4 Cu 3.34
W (0.0000, 0.5000, 0.0000) [2 per cell]  2 Ta 2.36

Record 6
A relaxed TaZnCuRu crystal, computed with GGA-PBE.

- total magnetic moment (μB per formula unit) = 0.000
- calculated density (g cm⁻³) = 11.636
- formation energy from the elements (kJ per mole of atoms) = -5.9

Cell: 6.1675 6.1675 6.1675 Å, 90.00 90.00 90.00°
Closest atoms and distances in Å follow each position.
Space group F-43m (No. 216)
Asymmetric unit:
Ta (0.0000, 0.0000, 0.0000) [4 per cell]  4 Ru 2.67, 4 Cu 2.67
Zn (0.0000, 0.0000, 0.5000) [4 per cell]  4 Ru 2.67, 4 Cu 2.67
Cu (0.2500, 0.2500, 0.2500) [4 per cell]  4 Ta 2.67, 4 Zn 2.67
Ru (0.2500, 0.2500, 0.7500) [4 per cell]  4 Ta 2.67, 4 Zn 2.67

Record 7
A relaxed ZrTaCuRu crystal, computed with GGA-PBE.

- total magnetic moment (μB per formula unit) = 0.000
- calculated density (g cm⁻³) = 10.854
- formation energy from the elements (kJ per mole of atoms) = -15.5

Cell: 6.4417 6.4417 6.4417 Å, 90.00 90.00 90.00°
Closest atoms and distances in Å follow each position.
Space group F-43m (No. 216)
Asymmetric unit:
Zr (0.0000, 0.0000, 0.0000) [4 per cell]  4 Ru 2.79, 4 Cu 2.79
Ta (0.0000, 0.0000, 0.5000) [4 per cell]  4 Cu 2.79, 4 Ru 2.79
Cu (0.2500, 0.2500, 0.2500) [4 per cell]  4 Zr 2.79, 4 Ta 2.79
Ru (0.2500, 0.2500, 0.7500) [4 per cell]  4 Zr 2.79, 4 Ta 2.79

Record 8
A relaxed Tb6CuRu5 crystal, computed with GGA-PBE.

- total magnetic moment (μB per formula unit) = 0.000
- calculated density (g cm⁻³) = 10.485
- formation energy from the elements (kJ per mole of atoms) = -30.8

Cell: 4.8620 14.4987 6.8411 Å, 90.00 90.00 90.00°
Closest atoms and distances in Å follow each position.
Space group Cmmm (No. 65)
Asymmetric unit:
Tb (0.0000, 0.0000, 0.2458) [4 per cell]  6 Ru 2.93-2.96, 2 Cu 2.99
Tb (0.0000, 0.3313, 0.2480) [8 per cell]  7 Ru 2.94-2.98, 1 Cu 2.99
Cu (0.0000, 0.5000, 0.5000) [2 per cell]  8 Tb 2.99
Ru (0.0000, 0.1649, 0.5000) [4 per cell]  8 Tb 2.96-2.98
Ru (0.0000, 0.1659, 0.0000) [4 per cell]  8 Tb 2.93-2.96
Ru (0.0000, 0.5000, 0.0000) [2 per cell]  8 Tb 2.96-2.98

Record 9
A relaxed Tb8CuRu5 crystal, computed with GGA-PBE.

- total magnetic moment (μB per formula unit) = 0.000
- calculated density (g cm⁻³) = 9.615
- formation energy from the elements (kJ per mole of atoms) = -20.0

Cell: 8.6261 8.6261 8.5428 Å, 90.00 90.00 90.00°
Closest atoms and distances in Å follow each position.
Space group I-4 (No. 82)
Asymmetric unit:
Tb (0.0626, 0.3201, 0.0569) [8 per cell]  4 Ru 2.78-3.09, 1 Cu 2.86
Tb (0.0710, 0.1869, 0.6757) [8 per cell]  4 Ru 2.80-2.97
Cu (0.0000, 0.0000, 0.0000) [2 per cell]  4 Tb 2.86
Ru (0.0000, 0.5000, 0.7500) [2 per cell]  8 Tb 2.84-3.09
Ru (0.1462, 0.2495, 0.3627) [8 per cell]  6 Tb 2.78-3.07

Record 10
A relaxed Tb4Cu3Ru crystal, computed with GGA-PBE.

- total magnetic moment (μB per formula unit) = 0.000
- calculated density (g cm⁻³) = 9.220
- formation energy from the elements (kJ per mole of atoms) = -27.3

Cell: 3.4470 3.4470 14.0579 Å, 90.00 90.00 90.00°
Closest atoms and distances in Å follow each position.
Space group P4/mmm (No. 123)
Asymmetric unit:
Tb (0.0000, 0.0000, 0.1194) [2 per cell]  4 Ru 2.96, 4 Cu 3.05
Tb (0.0000, 0.0000, 0.3727) [2 per cell]  8 Cu 2.98-3.02
Cu (0.5000, 0.5000, 0.2502) [2 per cell]  8 Tb 2.98-3.05
Cu (0.5000, 0.5000, 0.5000) [1 per cell]  8 Tb 3.02
Ru (0.5000, 0.5000, 0.0000) [1 per cell]  8 Tb 2.96

Record 11
A relaxed Tb7Cu2Ru2 crystal, computed with GGA-PBE.

- total magnetic moment (μB per formula unit) = 0.000
- calculated density (g cm⁻³) = 8.407
- formation energy from the elements (kJ per mole of atoms) = -10.0

Cell: 7.3137 11.0296 7.0600 Å, 90.00 90.00 90.00°
Closest atoms and distances in Å follow each position.
Space group Cmmm (No. 65)
Asymmetric unit:
Tb (0.0000, 0.0000, 0.0000) [2 per cell]  2 Ru 3.39, 4 Cu 3.73
Tb (0.0000, 0.5000, 0.2559) [4 per cell]  2 Ru 2.79, 2 Cu 2.99
Tb (0.2500, 0.2500, 0.2694) [8 per cell]  2 Ru 2.71
Cu (0.1655, 0.0000, 0.5000) [4 per cell]  1 Cu 2.42
Ru (0.0000, 0.3075, 0.0000) [4 per cell]  6 Tb 2.71-2.79

Record 12
A relaxed Tb4CuRu2 crystal, computed with GGA-PBE.

- total magnetic moment (μB per formula unit) = 0.000
- calculated density (g cm⁻³) = 9.385
- formation energy from the elements (kJ per mole of atoms) = -29.8

Cell: 4.8402 4.8402 23.5824 Å, 90.00 90.00 120.00°
Closest atoms and distances in Å follow each position.
Space group R-3m (No. 166, hexagonal axes)
Asymmetric unit:
Tb (0.0000, 0.0000, 0.1226) [6 per cell]  4 Ru 2.93-2.95, 3 Cu 2.98
Tb (0.0000, 0.0000, 0.3730) [6 per cell]  4 Ru 2.95-3.00, 1 Cu 2.99
Cu (0.0000, 0.0000, 0.5000) [3 per cell]  8 Tb 2.98-2.99
Ru (0.0000, 0.0000, 0.2477) [6 per cell]  8 Tb 2.93-3.00

Among the records above, which one has the highest total magnetic moment?
TaCuRuW2